[1]
Density functional theory data (PBE-GGA) for a geometry-optimized Pr6YCd5 structure.

Structure (extended XYZ):
```
12
Lattice="5.267 0.022 -1.537 -1.082 6.931 -3.609 -0.064 0.491 9.584" Properties=species:S:1:pos:R:3 pbc="T T T"
Pr 2.344 1.869 -1.736
Pr 1.842 5.083 -3.410
Pr 3.705 4.306 2.963
Pr 0.417 3.138 1.474
Pr -0.109 6.510 -0.282
Pr 4.231 0.934 4.719
Cd 3.259 1.234 1.393
Cd 2.776 4.812 -0.213
Cd -0.541 3.465 -1.805
Cd 1.346 2.632 4.650
Cd 0.862 6.210 3.044
Y 0.000 0.000 0.000
```

Crystal system: orthorhombic
ρ in g/cm3: 6.9
ΔH_f (0 K) in eV/atom: -0.230
Energy in eV/atom: -3.54
Total magnetic moment in Bohr magnetons per cell: 0.001
DOS(E_F) in states/eV/atom: 1.35

[2]
Density functional theory data (PBE-GGA) for a geometry-optimized PrY2Cd3 structure.

Structure (extended XYZ):
```
12
Lattice="-1.494 -0.168 5.114 -8.182 -2.075 0.320 1.900 -7.442 0.310" Properties=species:S:1:pos:R:3 pbc="T T T"
Y 0.950 -3.721 0.155
Y -2.310 -4.478 1.956
Y -5.466 -5.207 3.788
Y 0.000 0.000 0.000
Cd -3.425 -2.768 4.464
Cd 0.656 -5.581 2.786
Cd -5.255 -3.374 1.132
Cd -2.521 -6.312 4.612
Cd -4.351 -6.918 1.280
Cd -0.250 -2.030 2.638
Pr -3.211 -0.744 1.815
Pr -6.465 -1.499 3.618
```

Crystal system: orthorhombic
ρ in g/cm3: 6.6
ΔH_f (0 K) in eV/atom: -0.335
Energy in eV/atom: -3.74
Total magnetic moment in Bohr magnetons per cell: 1.373
DOS(E_F) in states/eV/atom: 1.20

[3]
Density functional theory data (PBE-GGA) for a geometry-optimized Pr3Y4Cd structure.

Structure (extended XYZ):
```
8
Lattice="3.653 0.000 0.000 0.000 3.653 0.000 0.000 0.000 19.385" Properties=species:S:1:pos:R:3 pbc="T T T"
Y 0.000 0.000 17.387
Y 0.000 0.000 7.124
Y 0.000 0.000 12.261
Y 0.000 0.000 1.998
Cd 1.826 1.826 0.000
Pr 1.826 1.826 4.555
Pr 1.826 1.826 9.692
Pr 1.826 1.826 14.830
```

Crystal system: tetragonal
ρ in g/cm3: 5.7
ΔH_f (0 K) in eV/atom: -0.076
Energy in eV/atom: -5.21
Total magnetic moment in Bohr magnetons per cell: 0.000
DOS(E_F) in states/eV/atom: 1.30

[4]
Density functional theory data (PBE-GGA) for a geometry-optimized Pr9Y4Cd11 structure.

Structure (extended XYZ):
```
24
Lattice="3.610 0.000 0.000 0.000 13.273 -5.411 0.000 0.241 14.331" Properties=species:S:1:pos:R:3 pbc="T T T"
Cd 0.000 3.498 2.309
Cd 0.000 4.990 7.137
Cd 0.000 10.016 6.612
Cd 0.000 12.649 3.271
Cd 0.000 0.865 5.650
Cd 0.000 5.535 -1.425
Cd 0.000 8.524 1.784
Cd 0.000 11.107 -2.129
Cd 0.000 2.407 11.050
Cd 0.000 0.000 0.000
Cd 0.000 7.978 10.346
Pr 1.805 2.106 8.212
Pr 1.805 12.927 6.150
Pr 1.805 8.379 -1.291
Pr 1.805 5.134 10.212
Pr 1.805 0.586 2.771
Pr 1.805 6.757 4.460
Pr 1.805 11.408 0.708
Pr 1.805 10.736 9.470
Pr 1.805 2.778 -0.550
Y 1.805 10.048 3.987
Y 1.805 3.466 4.934
Y 1.805 7.614 7.673
Y 1.805 5.899 1.248
```

Crystal system: orthorhombic
ρ in g/cm3: 6.9
ΔH_f (0 K) in eV/atom: -0.251
Energy in eV/atom: -3.54
Total magnetic moment in Bohr magnetons per cell: 0.524
DOS(E_F) in states/eV/atom: 1.05

[5]
Density functional theory data (PBE-GGA) for a geometry-optimized Pr3YCd2 structure.

Structure (extended XYZ):
```
12
Lattice="-4.955 0.812 -0.113 -0.611 -2.439 9.278 3.916 8.006 -2.617" Properties=species:S:1:pos:R:3 pbc="T T T"
Pr -2.935 -1.423 6.902
Pr -1.889 4.495 3.547
Pr -0.065 0.664 7.640
Pr -1.584 5.715 -1.092
Pr 0.240 1.884 3.001
Pr -2.630 -0.204 2.263
Y 0.000 0.000 0.000
Y -0.305 -1.219 4.639
Cd 0.765 4.854 1.326
Cd -2.109 2.745 0.583
Cd 0.460 3.634 5.965
Cd -2.414 1.525 5.222
```

Crystal system: orthorhombic
ρ in g/cm3: 6.7
ΔH_f (0 K) in eV/atom: -0.138
Energy in eV/atom: -3.91
Total magnetic moment in Bohr magnetons per cell: 0.000
Polymorph energy (0 for the lowest one) in kJ/mol of formula units: 32
DOS(E_F) in states/eV/atom: 1.23

[6]
Density functional theory data (PBE-GGA) for a geometry-optimized PrY7Cd4 structure.

Structure (extended XYZ):
```
12
Lattice="-2.680 -4.039 -3.071 -4.294 -5.575 5.719 -7.805 1.353 -0.330" Properties=species:S:1:pos:R:3 pbc="T T T"
Y -4.826 -3.195 3.053
Y -9.953 -5.066 -0.736
Y -9.759 -3.853 2.862
Y -1.340 -2.020 -1.536
Y -10.072 -7.390 2.424
Y -5.020 -4.408 -0.544
Y -4.708 -0.872 -0.107
Cd -2.502 -3.146 0.959
Cd -7.177 -5.344 2.570
Cd -7.602 -2.917 -0.252
Cd -12.278 -5.115 1.358
Pr 0.000 0.000 0.000
```

Crystal system: monoclinic
ρ in g/cm3: 5.7
ΔH_f (0 K) in eV/atom: -0.019
Energy in eV/atom: -4.49
Total magnetic moment in Bohr magnetons per cell: 0.001
DOS(E_F) in states/eV/atom: 1.27

[7]
Density functional theory data (PBE-GGA) for a geometry-optimized Pr3Y2Cd2 structure.

Structure (extended XYZ):
```
7
Lattice="-2.816 1.729 -3.983 -2.971 -0.905 1.708 -1.826 11.492 2.916" Properties=species:S:1:pos:R:3 pbc="T T T"
Y -4.544 7.446 -0.280
Y -3.069 4.870 0.921
Pr -1.705 8.413 1.494
Pr -2.937 4.808 -2.561
Pr 0.000 0.000 0.000
Cd -2.951 1.880 -0.460
Cd -4.662 10.436 1.101
```

Crystal system: orthorhombic
ρ in g/cm3: 6.4
ΔH_f (0 K) in eV/atom: -0.053
Energy in eV/atom: -4.21
Total magnetic moment in Bohr magnetons per cell: 0.227
Polymorph energy (0 for the lowest one) in kJ/mol of formula units: 70
DOS(E_F) in states/eV/atom: 1.24

[8]
Density functional theory data (PBE-GGA) for a geometry-optimized PrYCd4 structure.

Structure (extended XYZ):
```
6
Lattice="5.974 0.000 0.000 2.987 5.174 0.000 2.987 1.725 4.878" Properties=species:S:1:pos:R:3 pbc="T T T"
Cd 4.480 4.312 3.049
Cd 5.974 1.724 3.049
Cd 7.468 4.312 3.049
Cd 5.974 3.449 0.609
Y 0.000 0.000 0.000
Pr 2.987 1.725 1.219
```

Crystal system: cubic
ρ in g/cm3: 7.5
ΔH_f (0 K) in eV/atom: -0.290
Energy in eV/atom: -2.77
Total magnetic moment in Bohr magnetons per cell: 0.000
Polymorph energy (0 for the lowest one) in kJ/mol of formula units: 29
DOS(E_F) in states/eV/atom: 0.68